DFT (PBE) results for a geometry-optimized Mn2CrP structure.

Lattice parameters (Å, degrees): 4.4086 4.4086 4.4086 133.22 133.22 68.31
With the nearest neighbours (Å) after each atom.
Fractional positions:
Mn  0.0000  0.0000  0.0000  4 Cr 2.48, 4 Mn 2.53, 4 P 2.53
Mn  0.7500  0.2500  0.5000  4 P 2.48, 4 Cr 2.53, 4 Mn 2.53
Cr  0.5000  0.5000  0.0000  8 Mn 2.48-2.53, 4 P 2.53
P  0.2500  0.7500  0.5000  8 Mn 2.48-2.53, 4 Cr 2.53

Volume in Å³ per cell: 44.7
ΔH_f (0 K) in eV per atom: -0.18
Space-group type: I-4m2 (119)